In2Hg7Br2: optimized geometry, PBE.

Output
Its crystal system is monoclinic. As for the total moment: 0.00 μB per formula unit. For the total energy, the calculation gives -1.21 eV per atom.

Cell: 6.321 6.321 9.087 Å, 93.00 93.00 99.90°
Element x y z (fractional)
In 0.222 0.222 0.440
In 0.778 0.778 0.560
Hg 0.021 0.649 0.861
Hg 0.166 0.166 0.776
Hg 0.351 0.979 0.139
Hg 0.500 0.500 0.000
Hg 0.649 0.021 0.861
Hg 0.834 0.834 0.224
Hg 0.979 0.351 0.139
Br 0.299 0.701 0.500
Br 0.701 0.299 0.500

InHg2Br2: optimized geometry, PBE.

Output
For the offset from the most stable computed form, the calculation gives 0.040 eV/atom. Its crystal system is tetragonal. As for the total moment: 0.00 μB per formula unit.

Cell: 9.011 9.011 5.315 Å, 90.00 90.00 90.00°
Element x y z (fractional)
In 0.000 0.000 0.000
In 0.500 0.500 0.000
Hg 0.111 0.389 0.500
Hg 0.389 0.889 0.500
Hg 0.611 0.111 0.500
Hg 0.889 0.611 0.500
Br 0.225 0.275 0.000
Br 0.275 0.775 0.000
Br 0.725 0.225 0.000
Br 0.775 0.725 0.000